Run w
Below is a relaxed structure of AgPtAu2, with properties calculated at the PBE level.

Properties
Total moment (μB per formula unit): 0.00

```
data_AgPtAu2
_cell_length_a 4.1384
_cell_length_b 4.1384
_cell_length_c 8.0705
_cell_angle_alpha 90.00
_cell_angle_beta 90.00
_cell_angle_gamma 90.00
_space_group_name_H-M_alt 'I -4 m 2'
_space_group_IT_number 119
_space_group_name_Hall 'I -4 -2'
loop_
_atom_site_label
_atom_site_fract_x
_atom_site_fract_y
_atom_site_fract_z
Ag1 0.0000 0.0000 0.0000
Pt1 0.0000 0.5000 0.2500
Au1 0.0000 0.0000 0.5000
Au2 0.0000 0.5000 0.7500
```

Run x
Below is a relaxed structure of AgPtAu2, with properties calculated at the PBE level.

Properties
Total moment (μB per formula unit): 0.00

```
data_AgPtAu2
_cell_length_a 6.5265
_cell_length_b 6.5265
_cell_length_c 6.5265
_cell_angle_alpha 90.00
_cell_angle_beta 90.00
_cell_angle_gamma 90.00
_space_group_name_H-M_alt 'F -4 3 m'
_space_group_IT_number 216
_space_group_name_Hall 'F -4 2 3'
loop_
_atom_site_label
_atom_site_fract_x
_atom_site_fract_y
_atom_site_fract_z
Ag1 0.0000 0.0000 0.0000
Pt1 0.2500 0.2500 0.7500
Au1 0.0000 0.0000 0.5000
Au2 0.2500 0.2500 0.2500
```

Run y
Below is a relaxed structure of AgPtAu2, with properties calculated at the PBE level.

Properties
Total moment (μB per formula unit): 0.00

```
data_AgPtAu2
_cell_length_a 6.5288
_cell_length_b 6.5288
_cell_length_c 6.5288
_cell_angle_alpha 90.00
_cell_angle_beta 90.00
_cell_angle_gamma 90.00
_space_group_name_H-M_alt 'F m -3 m'
_space_group_IT_number 225
_space_group_name_Hall '-F 4 2 3'
loop_
_atom_site_label
_atom_site_fract_x
_atom_site_fract_y
_atom_site_fract_z
Ag1 0.0000 0.0000 0.0000
Pt1 0.0000 0.0000 0.5000
Au1 0.2500 0.2500 0.2500
```

Most stable structure, least stable structure: run w, run x.

Run w
Below is a relaxed structure of AgPtAu2, with properties calculated at the PBE level.

Properties
Total moment (μB per formula unit): 0.00

```
data_AgPtAu2
_cell_length_a 2.8783
_cell_length_b 4.0649
_cell_length_c 5.9055
_cell_angle_alpha 90.00
_cell_angle_beta 90.72
_cell_angle_gamma 90.00
_space_group_name_H-M_alt 'P 1 2/m 1'
_space_group_IT_number 10
loop_
_space_group_symop_operation_xyz
'x,y,z'
'-x,-y,-z'
'-x,y,-z'
'x,-y,z'
loop_
_atom_site_label
_atom_site_fract_x
_atom_site_fract_y
_atom_site_fract_z
Ag1 0.0000 0.0000 0.0000
Pt1 0.0000 0.0000 0.5000
Au1 0.5000 0.5000 0.2543
```

Run x
Below is a relaxed structure of AgPtAu2, with properties calculated at the PBE level.

Properties
Total moment (μB per formula unit): 0.00

```
data_AgPtAu2
_cell_length_a 3.0377
_cell_length_b 4.7699
_cell_length_c 4.7885
_cell_angle_alpha 90.00
_cell_angle_beta 90.00
_cell_angle_gamma 90.00
_space_group_name_H-M_alt 'P m m m'
_space_group_IT_number 47
loop_
_space_group_symop_operation_xyz
'x,y,z'
'-x,-y,-z'
'-x,-y,z'
'x,y,-z'
'x,-y,-z'
'-x,y,z'
'-x,y,-z'
'x,-y,z'
loop_
_atom_site_label
_atom_site_fract_x
_atom_site_fract_y
_atom_site_fract_z
Ag1 0.0000 0.0000 0.0000
Pt1 0.5000 0.0000 0.5000
Au1 0.0000 0.5000 0.5000
Au2 0.5000 0.5000 0.0000
```

Most stable structure, least stable structure: run w, run x.

Run w
Below is a relaxed structure of Ag3PtAu4, with properties calculated at the PBE level.

Properties
Total moment (μB per formula unit): 0.00

```
data_Ag3PtAu4
_cell_length_a 5.8864
_cell_length_b 5.8982
_cell_length_c 16.2029
_cell_angle_alpha 90.00
_cell_angle_beta 90.00
_cell_angle_gamma 90.00
_space_group_name_H-M_alt 'F m m m'
_space_group_IT_number 69
_space_group_name_Hall '-F 2 2'
loop_
_atom_site_label
_atom_site_fract_x
_atom_site_fract_y
_atom_site_fract_z
Ag1 0.0000 0.0000 0.0000
Ag2 0.0000 0.0000 0.2507
Pt1 0.0000 0.0000 0.5000
Au1 0.2500 0.2500 0.1230
```

Run x
Below is a relaxed structure of Ag3PtAu4, with properties calculated at the PBE level.

Properties
Total moment (μB per formula unit): 0.00

```
data_Ag3PtAu4
_cell_length_a 2.9841
_cell_length_b 4.8719
_cell_length_c 19.5497
_cell_angle_alpha 90.00
_cell_angle_beta 90.00
_cell_angle_gamma 90.00
_space_group_name_H-M_alt 'I m m m'
_space_group_IT_number 71
_space_group_name_Hall '-I 2 2'
loop_
_atom_site_label
_atom_site_fract_x
_atom_site_fract_y
_atom_site_fract_z
Ag1 0.0000 0.0000 0.0000
Ag2 0.0000 0.0000 0.2555
Pt1 0.0000 0.0000 0.5000
Au1 0.0000 0.5000 0.1203
Au2 0.0000 0.5000 0.3708
```

Most stable structure, least stable structure: run w, run x.